A relaxed structure of Pr2IrBr. Source: Alexandria via LeMat-Bulk, functional GGA-PBE.

abc: 3.5218 3.5218 8.3906
angles: 90.00 90.00 90.00
Last column: nearest neighbours and their distance in Å.
Space group P4/mmm (No. 123)
Inequivalent atoms, fractional coordinates:
Pr  0.0000  0.0000  0.2111 (multiplicity 2)  4 Ir 3.06
Ir  0.5000  0.5000  0.0000 (multiplicity 1)  8 Pr 3.06
Br  0.5000  0.5000  0.5000 (multiplicity 1)  8 Pr 3.47, 4 Br 3.52

Values from the calculation:
As for the total DFT energy (no corrections): -5.9194 eV/atom. As for the energy above the most stable polymorph in this dataset: 189 meV/atom.